Record 1
HfBe2Ru | PBEsol | optimized geometry

The calculation puts the energy relative to the elements at 0.24 eV per atom. The total energy comes out at -110.8 eV for the cell shown. The crystal system is tetragonal. The density of states at the Fermi level is 2.02 states/eV/f.u.

The space group is I-42d (No. 122) and the conventional cell measures 3.747, 3.747 and 16.567 Å, with angles of 90.00, 90.00 and 90.00 degrees. The inequivalent atoms are Hf at (0.000, 0.000, 0.000), Be at (0.105, 0.250, 0.625) and Ru at (0.000, 0.000, 0.500).

***

Record 2
Co2PtPb | PBEsol | optimized geometry

The calculation puts the energy relative to the elements at 0.36 eV per atom. The total energy comes out at -50.0 eV for the cell shown. The crystal system is monoclinic. The density of states at the Fermi level is 5.46 states/eV/f.u.

The space group is C2/m (No. 12) and the conventional cell measures 8.432, 2.953 and 5.087 Å, with angles of 90.00, 103.22 and 90.00 degrees. The inequivalent atoms are Co at (0.246, 0.000, 0.192), Pt at (0.000, 0.500, 0.000) and Pb at (0.000, 0.000, 0.500).

***

Record 3
Cu2ReWO | PBEsol | optimized geometry

The total energy comes out at -34.8 eV for the cell shown. The crystal system is tetragonal. The density of states at the Fermi level is 4.37 states/eV/f.u.

The space group is P4/mmm (No. 123) and the conventional cell measures 4.682, 4.682 and 3.629 Å, with angles of 90.00, 90.00 and 90.00 degrees. The inequivalent atoms are Cu at (0.000, 0.500, 0.000), Re at (0.000, 0.000, 0.500), W at (0.500, 0.500, 0.000) and O at (0.500, 0.500, 0.500).

***

Record 4
HgIrRu2 | PBEsol | optimized geometry

The calculation puts the energy relative to the elements at 0.58 eV per atom. The total energy comes out at -56.8 eV for the cell shown. The crystal system is orthorhombic. The density of states at the Fermi level is 4.81 states/eV/f.u.

The space group is Cmm2 (No. 35) and the conventional cell measures 2.747, 4.741 and 9.454 Å, with angles of 90.00, 90.00 and 90.00 degrees. The inequivalent atoms are Hg at (0.000, 0.000, 0.000), Ir at (0.000, 0.500, 0.268), Ru at (0.000, 0.000, 0.505) and Ru at (0.000, 0.500, 0.733).

***

Record 5
Sr2CaSb | PBEsol | optimized geometry

The total energy comes out at -46.7 eV for the cell shown. The crystal system is tetragonal. The density of states at the Fermi level is 4.86 states/eV/f.u.

The space group is I-42d (No. 122) and the conventional cell measures 11.044, 11.044 and 6.244 Å, with angles of 90.00, 90.00 and 90.00 degrees. The inequivalent atoms are Sr at (0.135, 0.250, 0.125), Ca at (0.000, 0.000, 0.500) and Sb at (0.000, 0.000, 0.000).

***

Record 6
NiHgN2F | PBEsol | optimized geometry

The total energy comes out at -16.7 eV for the cell shown. The crystal system is tetragonal. The density of states at the Fermi level is 6.46 states/eV/f.u.

The space group is P4/mmm (No. 123) and the conventional cell measures 4.078, 4.078 and 4.532 Å, with angles of 90.00, 90.00 and 90.00 degrees. The inequivalent atoms are Ni at (0.000, 0.000, 0.000), Hg at (0.500, 0.500, 0.500), N at (0.000, 0.500, 0.500) and F at (0.500, 0.500, 0.000).

***

Record 7
AsRh2W | PBEsol | optimized geometry

The calculation puts the energy relative to the elements at 0.03 eV per atom. The total energy comes out at -70.2 eV for the cell shown. The crystal system is tetragonal. The density of states at the Fermi level is 3.10 states/eV/f.u.

The space group is I-4m2 (No. 119) and the conventional cell measures 3.944, 3.944 and 7.332 Å, with angles of 90.00, 90.00 and 90.00 degrees. The inequivalent atoms are As at (0.000, 0.000, 0.000), Rh at (0.000, 0.000, 0.500), Rh at (0.000, 0.500, 0.250) and W at (0.000, 0.500, 0.750).

***

Record 8
BiBr3 | PBEsol | optimized geometry

The total energy comes out at -25.3 eV for the cell shown. The crystal system is monoclinic. The density of states at the Fermi level is 0.00 states/eV/f.u.

The space group is P2_1/m (No. 11) and the conventional cell measures 4.024, 8.983 and 6.946 Å, with angles of 90.00, 106.60 and 90.00 degrees. The inequivalent atoms are Bi at (0.237, 0.250, 0.474), Br at (0.149, 0.565, 0.296) and Br at (0.414, 0.750, 0.833).